Entry 1:
PBE-GGA Tb2ErPuS4, optimized geometry; Fermi-level density of states = 0.9407 states/eV/atom; E_form (uncorrected) = -1.958 eV per atom; crystal system = monoclinic; calculated total energy = -7.541 eV per atom; V = 170.06 Å³/cell
1.0
6.791 0.000 0.000
0.000 3.904 0.000
-2.237 0.000 6.414
Tb Er Pu S
2 1 1 4
Cartesian
0.000 0.000 0.000 Tb
-1.118 1.952 3.207 Tb
2.277 0.000 3.207 Er
3.396 1.952 0.000 Pu
0.032 0.000 4.791 S
1.150 1.952 1.633 S
3.405 1.952 4.781 S
4.522 0.000 1.623 S

=====

Entry 2:
PBE-GGA Ce5Sb2Te2, optimized geometry; Fermi-level density of states = 3.7883 states/eV/atom; E_form (uncorrected) = -1.037 eV per atom; crystal system = orthorhombic; calculated total energy = -5.948 eV per atom; V = 547.62 Å³/cell
1.0
7.944 -4.142 0.000
7.944 4.142 0.000
0.000 0.000 8.321
Ce Sb Te
10 4 4
Cartesian
0.000 0.000 0.000 Ce
5.792 2.813 5.487 Ce
5.792 1.329 1.326 Ce
10.096 2.813 5.487 Ce
10.096 1.329 1.326 Ce
7.944 0.000 4.161 Ce
5.792 -1.329 6.996 Ce
5.792 -2.813 2.835 Ce
10.096 -1.329 6.996 Ce
10.096 -2.813 2.835 Ce
7.944 2.967 2.977 Sb
7.944 1.175 7.138 Sb
7.944 -1.175 1.183 Sb
7.944 -2.967 5.344 Sb
3.166 0.000 0.000 Te
4.777 0.000 4.161 Te
11.110 0.000 4.161 Te
12.721 0.000 0.000 Te

=====

Entry 3:
PBE-GGA NdLu2Tl, optimized geometry; Fermi-level density of states = 0.7838 states/eV/atom; crystal system = tetragonal; calculated total energy = -4.209 eV per atom; formation enthalpy at 0 K = -0.165 eV per atom; V = 117.53 Å³/cell
1.0
3.618 0.000 0.000
0.000 3.618 0.000
0.000 0.000 8.981
Nd Lu Tl
1 2 1
Cartesian
0.000 0.000 0.000 Nd
1.809 1.809 2.482 Lu
1.809 1.809 6.498 Lu
0.000 0.000 4.490 Tl

=====

Entry 4:
PBE-GGA Zr2FeSi, optimized geometry; Fermi-level density of states = 0.7773 states/eV/atom; E_form (uncorrected) = -0.362 eV per atom; crystal system = tetragonal; calculated total energy = -8.107 eV per atom; V = 69.39 Å³/cell
1.0
4.415 0.000 0.000
0.000 4.415 0.000
0.000 0.000 3.559
Zr Fe Si
2 1 1
Cartesian
0.000 2.208 0.000 Zr
2.208 0.000 0.000 Zr
0.000 0.000 1.780 Fe
2.208 2.208 1.780 Si

=====

Entry 5:
PBE-GGA Tm4CuTeSe2, optimized geometry; Fermi-level density of states = 0.5887 states/eV/atom; E_form (uncorrected) = -1.170 eV per atom; crystal system = monoclinic; calculated total energy = -5.182 eV per atom; V = 195.22 Å³/cell
1.0
7.151 0.000 0.000
0.000 3.972 0.000
-2.232 0.000 6.873
Tm Cu Te Se
4 1 1 2
Cartesian
1.086 0.000 1.649 Tm
-0.033 1.986 5.101 Tm
3.833 0.000 5.224 Tm
4.952 1.986 1.772 Tm
0.000 1.986 0.000 Cu
3.576 0.000 0.000 Te
-1.116 0.000 3.436 Se
2.459 1.986 3.436 Se

=====

Entry 6:
PBE-GGA LiCaP2Pd5, optimized geometry; Fermi-level density of states = 0.2056 states/eV/atom; crystal system = tetragonal; calculated total energy = -5.183 eV per atom; formation enthalpy at 0 K = -0.661 eV per atom; V = 147.94 Å³/cell
1.0
4.155 0.000 0.000
0.000 4.155 0.000
0.000 0.000 8.568
Li Ca P Pd
1 1 2 5
Cartesian
0.000 0.000 0.000 Li
0.000 0.000 4.284 Ca
2.078 2.078 1.075 P
2.078 2.078 7.493 P
0.000 2.078 2.149 Pd
0.000 2.078 6.419 Pd
2.078 0.000 2.149 Pd
2.078 0.000 6.419 Pd
2.078 2.078 4.284 Pd